# KLiWO3, relaxed, DFT PBE+U
data_KLiWO3
_chemical_formula_sum 'K1 Li1 W1 O3'
_symmetry_space_group_name_H-M 'P 1'
_symmetry_Int_Tables_number 1
_cell_length_a 4.139
_cell_length_b 4.139
_cell_length_c 4.334
_cell_angle_alpha 90.00
_cell_angle_beta 90.00
_cell_angle_gamma 90.00
loop_
_symmetry_equiv_pos_as_xyz
'x,y,z'
loop_
_atom_site_label
_atom_site_fract_x
_atom_site_fract_y
_atom_site_fract_z
K1 0.000 0.000 0.000
Li1 0.000 0.000 0.500
W1 0.500 0.500 0.500
O1 0.000 0.500 0.500
O2 0.500 0.000 0.500
O3 0.500 0.500 0.000
# Total DFT energy (no corrections) = -34.495 eV/cell
# ΔE to the lowest computed polymorph = 84 meV/atom
# Symmetry = P4/mmm, No. 123
# Total magnetic moment = 0.33 μB per atom